# 1
Here is a relaxed structure of CrSi3Ni12 from the Alexandria database. Energies are from GGA-PBE.

Calculated values
For the total moment, the calculation gives 1.7 μB/f.u. The uncorrected formation energy comes out at -0.337 eV/atom. For the total DFT energy (no corrections), the calculation gives -100.66 eV per cell.

```
data_CrSi3Ni12
_chemical_formula_sum 'Cr1 Si3 Ni12'
_cell_length_a 3.5196
_cell_length_b 3.5196
_cell_length_c 14.0185
_cell_angle_alpha 90.00
_cell_angle_beta 90.00
_cell_angle_gamma 90.00
_symmetry_space_group_name_H-M 'P 4/m m m'
_symmetry_Int_Tables_number 123
_symmetry_space_group_name_Hall '-P 4 2'
loop_
_atom_site_label
_atom_site_fract_x
_atom_site_fract_y
_atom_site_fract_z
Cr1 0.0000 0.0000 0.0000
Si1 0.0000 0.0000 0.2521
Si2 0.0000 0.0000 0.5000
Ni1 0.0000 0.5000 0.1266
Ni2 0.0000 0.5000 0.3754
Ni3 0.5000 0.5000 0.0000
Ni4 0.5000 0.5000 0.2511
Ni5 0.5000 0.5000 0.5000
```

***

# 2
Here is a relaxed structure of CrSi2NiW from the Alexandria database. Energies are from GGA-PBE.

Calculated values
For the total moment, the calculation gives 0.7 μB/f.u. The uncorrected formation energy comes out at 1.069 eV/atom. For the total DFT energy (no corrections), the calculation gives -33.86 eV per cell.

```
data_CrSi2NiW
_chemical_formula_sum 'Cr1 Si2 Ni1 W1'
_cell_length_a 4.1796
_cell_length_b 4.1796
_cell_length_c 4.2677
_cell_angle_alpha 90.00
_cell_angle_beta 90.00
_cell_angle_gamma 90.00
_symmetry_space_group_name_H-M 'P 4/m m m'
_symmetry_Int_Tables_number 123
_symmetry_space_group_name_Hall '-P 4 2'
loop_
_atom_site_label
_atom_site_fract_x
_atom_site_fract_y
_atom_site_fract_z
Cr1 0.0000 0.0000 0.0000
Si1 0.0000 0.5000 0.5000
Ni1 0.0000 0.0000 0.5000
W1 0.5000 0.5000 0.0000
```

***

# 3
Here is a relaxed structure of Y2CrSiNi from the Alexandria database. Energies are from GGA-PBE.

Calculated values
For the total moment, the calculation gives 4.0 μB/f.u. The uncorrected formation energy comes out at 0.200 eV/atom. For the total DFT energy (no corrections), the calculation gives -32.75 eV per cell.

```
data_Y2CrSiNi
_chemical_formula_sum 'Y2 Cr1 Si1 Ni1'
_cell_length_a 5.0736
_cell_length_b 5.0736
_cell_length_c 4.5340
_cell_angle_alpha 90.00
_cell_angle_beta 90.00
_cell_angle_gamma 90.00
_symmetry_space_group_name_H-M 'P 4/m m m'
_symmetry_Int_Tables_number 123
_symmetry_space_group_name_Hall '-P 4 2'
loop_
_atom_site_label
_atom_site_fract_x
_atom_site_fract_y
_atom_site_fract_z
Y1 0.0000 0.5000 0.0000
Cr1 0.0000 0.0000 0.5000
Si1 0.5000 0.5000 0.5000
Ni1 0.0000 0.0000 0.0000
```

***

# 4
Here is a relaxed structure of SmCrNi4 from the Alexandria database. Energies are from GGA-PBE.

Calculated values
For the total moment, the calculation gives 5.3 μB/f.u. The calculation puts the energy of formation from the pure elements at -0.12 eV per atom. For the total DFT energy (no corrections), the calculation gives -152.70 eV per cell.

```
data_SmCrNi4
_chemical_formula_sum 'Sm4 Cr4 Ni16'
_cell_length_a 6.9971
_cell_length_b 6.9971
_cell_length_c 6.9971
_cell_angle_alpha 90.00
_cell_angle_beta 90.00
_cell_angle_gamma 90.00
_symmetry_space_group_name_H-M 'F -4 3 m'
_symmetry_Int_Tables_number 216
_symmetry_space_group_name_Hall 'F -4 2 3'
loop_
_atom_site_label
_atom_site_fract_x
_atom_site_fract_y
_atom_site_fract_z
Sm1 0.0000 0.0000 0.0000
Cr1 0.2500 0.2500 0.2500
Ni1 0.1238 0.1238 0.6238
```

***

# 5
Here is a relaxed structure of CrNi3Sn from the Alexandria database. Energies are from GGA-PBE.

Calculated values
For the total moment, the calculation gives 0.0 μB/f.u. The value obtained for the energy relative to the lowest polymorph listed for this composition is 0 meV per atom. The calculation puts the energy of formation from the pure elements at 0.89 eV per atom. For the total DFT energy (no corrections), the calculation gives -26.51 eV per cell.

```
data_CrNi3Sn
_chemical_formula_sum 'Cr1 Ni3 Sn1'
_cell_length_a 4.3219
_cell_length_b 4.3219
_cell_length_c 4.3219
_cell_angle_alpha 90.00
_cell_angle_beta 90.00
_cell_angle_gamma 90.00
_symmetry_space_group_name_H-M 'P m -3 m'
_symmetry_Int_Tables_number 221
_symmetry_space_group_name_Hall '-P 4 2 3'
loop_
_atom_site_label
_atom_site_fract_x
_atom_site_fract_y
_atom_site_fract_z
Cr1 0.0000 0.0000 0.0000
Ni1 0.0000 0.0000 0.5000
Sn1 0.5000 0.5000 0.5000
```

***

# 6
Here is a relaxed structure of CrNi2Sn2 from the Alexandria database. Energies are from GGA-PBE.

Calculated values
For the total moment, the calculation gives 4.0 μB/f.u. The value obtained for the energy relative to the lowest polymorph listed for this composition is 0 meV per atom. The calculation puts the energy of formation from the pure elements at 0.08 eV per atom. For the total DFT energy (no corrections), the calculation gives -57.63 eV per cell.

```
data_CrNi2Sn2
_chemical_formula_sum 'Cr2 Ni4 Sn4'
_cell_length_a 7.0836
_cell_length_b 7.0836
_cell_length_c 3.2656
_cell_angle_alpha 90.00
_cell_angle_beta 90.00
_cell_angle_gamma 90.00
_symmetry_space_group_name_H-M 'P 4/m b m'
_symmetry_Int_Tables_number 127
_symmetry_space_group_name_Hall '-P 4 2ab'
loop_
_atom_site_label
_atom_site_fract_x
_atom_site_fract_y
_atom_site_fract_z
Cr1 0.0000 0.0000 0.0000
Ni1 0.1265 0.3735 0.0000
Sn1 0.1714 0.6714 0.5000
```

***

The highest total DFT energy (no corrections) belongs to which entry? CrNi3Sn

***

Number 2 is which compound? CrSi2NiW

***

Which value of total DFT energy (no corrections) does entry 2 give? -33.86 eV per cell

***

total DFT energy (no corrections) of number 5 (CrNi3Sn)? -26.51 eV per cell